A relaxed Na2CdFeF6 crystal, computed with PBE+U.

```
Na2CdFeF6
1.0
5.7023 0.0000 0.0000
-2.8429 4.9713 0.0000
-2.7974 -1.6862 4.9766
Na Cd Fe F
2 1 1 6
direct
0.0000 0.0000 0.0000
0.0093 0.5076 0.5084
0.4332 0.7166 0.1473
0.4258 0.2123 0.6372
0.2697 0.4220 0.3606
0.2766 0.3253 0.8427
0.5177 0.9415 0.8496
0.5194 0.1005 0.3705
0.9114 0.5745 0.8492
0.9407 0.8441 0.3585
```

Space-group type = P1
E = -45.4 eV for the cell shown